VASP calculation (GGA+U) on a geometry-optimized PaTlFe2O6 structure.

a = 5.5848 Å, b = 5.6047 Å, c = 5.8789 Å
α = 89.96°, β = 62.35°, γ = 60.13°
Positions (direct):
Pa  0.0000  0.0000  0.0000
Tl  0.0141  0.4946  0.4802
Fe  0.5818  0.2064  0.6284
Fe  0.5995  0.7095  0.1103
O  0.1064  0.5984  0.8107
O  0.1059  0.8145  0.2965
O  0.4929  0.9081  0.8201
O  0.5128  0.0902  0.3147
O  0.7876  0.4116  0.2874
O  0.7896  0.2869  0.8015

Properties
Calculated volume ... 135 Å³ per cell
Electronic total energy ... -7.223 eV per atom
Space-group type ... No. 1